Record 1
This record from Alexandria via LeMat-Bulk describes an optimized crystal structure of TbNdCd5. The functional is GGA-PBE.

Geometry as extended XYZ:
```
7
Lattice="5.222 0.000 0.000 0.000 5.222 0.000 0.000 0.000 6.900" Properties=species:S:1:pos:R:3 pbc="T T T"
Tb 0.000 0.000 0.000
Nd 2.611 2.611 3.450
Cd 0.000 0.000 3.450
Cd 0.000 2.611 1.581
Cd 0.000 2.611 5.319
Cd 2.611 0.000 1.581
Cd 2.611 0.000 5.319
```

Calculated values
As for the crystal system: tetragonal.

Record 2
This record from Alexandria via LeMat-Bulk describes an optimized crystal structure of Tb2NdCd3. The functional is GGA-PBE.

Geometry as extended XYZ:
```
6
Lattice="3.787 0.000 0.000 0.000 3.787 0.000 0.000 0.000 11.402" Properties=species:S:1:pos:R:3 pbc="T T T"
Tb 0.000 0.000 1.862
Tb 0.000 0.000 9.540
Nd 0.000 0.000 5.701
Cd 1.894 1.894 0.000
Cd 1.894 1.894 3.684
Cd 1.894 1.894 7.718
```

Calculated values
As for the crystal system: tetragonal.

Record 3
This record from Alexandria via LeMat-Bulk describes an optimized crystal structure of Tb2Nd5Cd. The functional is GGA-PBE.

Geometry as extended XYZ:
```
16
Lattice="7.190 0.000 0.000 0.000 7.190 0.000 0.000 0.000 9.983" Properties=species:S:1:pos:R:3 pbc="T T T"
Tb 0.000 3.595 0.000
Tb 0.000 3.595 4.992
Tb 3.595 0.000 0.000
Tb 3.595 0.000 4.992
Nd 0.000 0.000 0.000
Nd 1.793 1.793 7.488
Nd 1.793 5.396 2.496
Nd 1.802 1.802 2.496
Nd 1.802 5.388 7.487
Nd 3.595 3.595 4.992
Nd 5.388 1.802 7.487
Nd 5.388 5.388 2.496
Nd 5.396 1.793 2.496
Nd 5.396 5.396 7.488
Cd 0.000 0.000 4.992
Cd 3.595 3.595 0.000
```

Calculated values
As for the crystal system: tetragonal.

Record 4
This record from Alexandria via LeMat-Bulk describes an optimized crystal structure of TbNd5Cd6. The functional is GGA-PBE.

Geometry as extended XYZ:
```
12
Lattice="5.411 0.000 0.000 0.000 7.727 0.000 -2.696 0.000 8.130" Properties=species:S:1:pos:R:3 pbc="T T T"
Tb 0.000 0.000 0.000
Nd 0.000 3.863 0.000
Nd 0.005 3.863 5.394
Nd 0.005 0.000 5.425
Nd 2.710 0.000 2.704
Nd 2.710 3.863 2.735
Cd 0.005 1.901 2.664
Cd 0.005 5.826 2.664
Cd 2.705 1.889 0.000
Cd 2.705 5.837 0.000
Cd 2.710 1.901 5.466
Cd 2.710 5.826 5.466
```

Calculated values
As for the crystal system: monoclinic.

Record 5
This record from Alexandria via LeMat-Bulk describes an optimized crystal structure of TbNdCd3. The functional is GGA-PBE.

Geometry as extended XYZ:
```
10
Lattice="1.755 -14.943 0.000 1.755 14.943 0.000 0.000 0.000 5.025" Properties=species:S:1:pos:R:3 pbc="T T T"
Tb 1.755 8.530 3.769
Tb 1.755 -8.530 1.256
Nd 1.755 12.707 1.256
Nd 1.755 -12.707 3.769
Cd 1.755 5.277 3.769
Cd 1.755 3.654 1.256
Cd 1.755 0.717 1.256
Cd 1.755 -0.717 3.769
Cd 1.755 -3.654 3.769
Cd 1.755 -5.277 1.256
```

Calculated values
As for the crystal system: orthorhombic.

Record 6
This record from Alexandria via LeMat-Bulk describes an optimized crystal structure of TbNd2Cd5. The functional is GGA-PBE.

Geometry as extended XYZ:
```
16
Lattice="5.177 0.000 0.000 0.000 5.177 0.000 0.000 0.000 15.501" Properties=species:S:1:pos:R:3 pbc="T T T"
Tb 0.000 0.000 0.000
Tb 2.588 2.588 7.751
Nd 0.000 0.000 4.071
Nd 0.000 0.000 11.430
Nd 2.588 2.588 3.680
Nd 2.588 2.588 11.822
Cd 0.000 0.000 7.751
Cd 0.000 2.588 1.775
Cd 0.000 2.588 5.976
Cd 0.000 2.588 9.526
Cd 0.000 2.588 13.726
Cd 2.588 0.000 1.775
Cd 2.588 0.000 5.976
Cd 2.588 0.000 9.526
Cd 2.588 0.000 13.726
Cd 2.588 2.588 0.000
```

Calculated values
As for the crystal system: tetragonal.

Record 7
This record from Alexandria via LeMat-Bulk describes an optimized crystal structure of TbNd2Cd. The functional is GGA-PBE.

Geometry as extended XYZ:
```
16
Lattice="7.875 0.000 0.000 0.000 7.875 0.000 0.000 0.000 7.875" Properties=species:S:1:pos:R:3 pbc="T T T"
Tb 0.000 0.000 0.000
Tb 0.000 3.938 3.938
Tb 3.938 0.000 3.938
Tb 3.938 3.938 0.000
Nd 1.969 1.969 1.969
Nd 1.969 1.969 5.906
Nd 1.969 5.906 1.969
Nd 1.969 5.906 5.906
Nd 5.906 1.969 1.969
Nd 5.906 1.969 5.906
Nd 5.906 5.906 1.969
Nd 5.906 5.906 5.906
Cd 0.000 0.000 3.938
Cd 0.000 3.938 0.000
Cd 3.938 0.000 0.000
Cd 3.938 3.938 3.938
```

Calculated values
As for the crystal system: cubic.

Record 8
This record from Alexandria via LeMat-Bulk describes an optimized crystal structure of TbNd4Cd. The functional is GGA-PBE.

Geometry as extended XYZ:
```
6
Lattice="3.686 0.000 0.000 0.000 3.686 0.000 0.000 0.000 14.362" Properties=species:S:1:pos:R:3 pbc="T T T"
Tb 0.000 0.000 0.000
Nd 0.000 0.000 5.077
Nd 0.000 0.000 9.285
Nd 1.843 1.843 2.515
Nd 1.843 1.843 11.847
Cd 1.843 1.843 7.181
```

Calculated values
As for the crystal system: tetragonal.

Record 9
This record from Alexandria via LeMat-Bulk describes an optimized crystal structure of Tb4NdCd2. The functional is GGA-PBE.

Geometry as extended XYZ:
```
7
Lattice="2.551 1.473 10.429 -2.551 1.473 10.429 0.000 -2.946 10.429" Properties=species:S:1:pos:R:3 pbc="T T T"
Tb 0.000 0.000 3.313
Tb 0.000 0.000 9.317
Tb 0.000 0.000 21.969
Tb 0.000 0.000 27.974
Nd 0.000 0.000 15.643
Cd 0.000 0.000 12.489
Cd 0.000 0.000 18.798
```

Calculated values
As for the crystal system: trigonal.

Record 10
This record from Alexandria via LeMat-Bulk describes an optimized crystal structure of Tb7Nd2Cd2. The functional is GGA-PBE.

Geometry as extended XYZ:
```
11
Lattice="4.831 -5.834 0.000 4.831 5.834 0.000 -2.689 0.000 6.063" Properties=species:S:1:pos:R:3 pbc="T T T"
Tb 0.000 0.000 0.000
Tb 0.929 2.985 4.867
Tb 1.878 0.000 3.311
Tb 6.044 2.985 1.196
Tb 0.929 -2.985 4.867
Tb 5.095 0.000 2.752
Tb 6.044 -2.985 1.196
Nd 3.487 4.198 3.031
Nd 3.487 -4.198 3.031
Cd 3.169 0.000 0.167
Cd 3.804 0.000 5.896
```

Calculated values
As for the crystal system: monoclinic.

Record 11
This record from Alexandria via LeMat-Bulk describes an optimized crystal structure of TbNd6Cd2. The functional is GGA-PBE.

Geometry as extended XYZ:
```
18
Lattice="7.874 -5.862 0.000 7.874 5.862 0.000 -0.639 0.000 6.214" Properties=species:S:1:pos:R:3 pbc="T T T"
Tb 7.395 4.660 4.660
Tb 7.714 -4.660 1.553
Nd 5.904 4.103 1.161
Nd 3.315 1.495 2.089
Nd 9.525 4.103 1.946
Nd 6.667 1.485 3.049
Nd 2.996 -1.495 5.196
Nd 8.762 1.485 0.058
Nd 6.348 -1.485 6.156
Nd 12.113 1.495 1.018
Nd 8.442 -1.485 3.165
Nd 5.584 -4.103 4.268
Nd 11.794 -1.495 4.125
Nd 9.206 -4.103 5.053
Cd 4.711 1.441 5.642
Cd 5.030 -1.441 2.535
Cd 10.079 1.441 3.679
Cd 10.399 -1.441 0.572
```

Calculated values
As for the crystal system: monoclinic.

Record 12
This record from Alexandria via LeMat-Bulk describes an optimized crystal structure of Tb2NdCd3. The functional is GGA-PBE.

Geometry as extended XYZ:
```
12
Lattice="2.666 -8.008 0.000 2.666 8.008 0.000 0.000 0.000 7.661" Properties=species:S:1:pos:R:3 pbc="T T T"
Tb 0.000 0.000 0.000
Tb 0.000 0.000 3.831
Tb 2.666 2.697 0.000
Tb 2.666 -2.697 0.000
Nd 2.666 2.657 3.831
Nd 2.666 -2.657 3.831
Cd 2.666 5.380 1.845
Cd 2.666 5.380 5.816
Cd 2.666 0.000 1.847
Cd 2.666 0.000 5.815
Cd 2.666 -5.380 1.845
Cd 2.666 -5.380 5.816
```

Calculated values
As for the crystal system: orthorhombic.

Here are the calculated uncorrected energy numbers, same order: -2.122; -3.112; -4.285; -3.147; -2.737; -2.649; -3.809; -4.198; -3.380; -3.892; -3.964; -3.112 (eV per atom).